Entry 1:
Mg5Tl4 | meta-GGA SCAN | single point on PBEsol structure

```
data_Mg5Tl4
_symmetry_space_group_name_H-M 'I 4/m m m'
_symmetry_Int_Tables_number 139
_symmetry_space_group_name_Hall '-I 4 2'
_cell_length_a 9.676
_cell_length_b 9.676
_cell_length_c 4.601
_cell_angle_alpha 90.00
_cell_angle_beta 90.00
_cell_angle_gamma 90.00
loop_
_atom_site_label
_atom_site_type_symbol
_atom_site_fract_x
_atom_site_fract_y
_atom_site_fract_z
Mg1 Mg 0.000 0.000 0.000
Mg2 Mg 0.167 0.167 0.500
Tl1 Tl 0.000 0.318 0.000
```

* calculated volume: 23.93 Å³/atom
* energy of formation: -78 meV per atom
* E: -35.0007 eV/atom
* excess energy over the best structure of this formula in the dataset: 0.047 eV/atom


Entry 2:
MgCd2Pt | meta-GGA SCAN | single point on PBEsol structure

```
data_MgCd2Pt
_symmetry_space_group_name_H-M 'I -4 m 2'
_symmetry_Int_Tables_number 119
_symmetry_space_group_name_Hall 'I -4 -2'
_cell_length_a 4.114
_cell_length_b 4.114
_cell_length_c 8.363
_cell_angle_alpha 90.00
_cell_angle_beta 90.00
_cell_angle_gamma 90.00
loop_
_atom_site_label
_atom_site_type_symbol
_atom_site_fract_x
_atom_site_fract_y
_atom_site_fract_z
Mg1 Mg 0.000 0.000 0.000
Cd1 Cd 0.000 0.000 0.500
Cd2 Cd 0.000 0.500 0.750
Pt1 Pt 0.000 0.500 0.250
```

* calculated volume: 17.70 Å³/atom
* energy of formation: -430 meV per atom
* E: -34.4293 eV/atom


Entry 3:
Li3TlSi | meta-GGA SCAN | single point on PBEsol structure

```
data_Li3TlSi
_symmetry_space_group_name_H-M 'P m -3 m'
_symmetry_Int_Tables_number 221
_symmetry_space_group_name_Hall '-P 4 2 3'
_cell_length_a 4.807
_cell_length_b 4.807
_cell_length_c 4.807
_cell_angle_alpha 90.00
_cell_angle_beta 90.00
_cell_angle_gamma 90.00
loop_
_atom_site_label
_atom_site_type_symbol
_atom_site_fract_x
_atom_site_fract_y
_atom_site_fract_z
Li1 Li 0.000 0.000 0.500
Tl1 Tl 0.500 0.500 0.500
Si1 Si 0.000 0.000 0.000
```

* calculated volume: 22.21 Å³/atom
* E: -17.8714 eV/atom
* excess energy over the best structure of this formula in the dataset: 0.000 eV/atom


Entry 4:
Ti3CdGe | meta-GGA SCAN | single point on PBEsol structure

```
data_Ti3CdGe
_symmetry_space_group_name_H-M 'P m -3 m'
_symmetry_Int_Tables_number 221
_symmetry_space_group_name_Hall '-P 4 2 3'
_cell_length_a 4.842
_cell_length_b 4.842
_cell_length_c 4.842
_cell_angle_alpha 90.00
_cell_angle_beta 90.00
_cell_angle_gamma 90.00
loop_
_atom_site_label
_atom_site_type_symbol
_atom_site_fract_x
_atom_site_fract_y
_atom_site_fract_z
Ti1 Ti 0.000 0.000 0.500
Cd1 Cd 0.000 0.000 0.000
Ge1 Ge 0.500 0.500 0.500
```

* calculated volume: 22.70 Å³/atom
* energy of formation: 1081 meV per atom
* E: -18.4372 eV/atom


Entry 5:
RbYAu3 | meta-GGA SCAN | single point on PBEsol structure

```
data_RbYAu3
_symmetry_space_group_name_H-M 'P m -3 m'
_symmetry_Int_Tables_number 221
_symmetry_space_group_name_Hall '-P 4 2 3'
_cell_length_a 5.391
_cell_length_b 5.391
_cell_length_c 5.391
_cell_angle_alpha 90.00
_cell_angle_beta 90.00
_cell_angle_gamma 90.00
loop_
_atom_site_label
_atom_site_type_symbol
_atom_site_fract_x
_atom_site_fract_y
_atom_site_fract_z
Rb1 Rb 0.000 0.000 0.000
Y1 Y 0.500 0.500 0.500
Au1 Au 0.000 0.000 0.500
```

* calculated volume: 31.33 Å³/atom
* energy of formation: 826 meV per atom
* E: -50.3848 eV/atom


Entry 6:
Ca2ZnSi | meta-GGA SCAN | single point on PBEsol structure

```
data_Ca2ZnSi
_symmetry_space_group_name_H-M 'F m -3 m'
_symmetry_Int_Tables_number 225
_symmetry_space_group_name_Hall '-F 4 2 3'
_cell_length_a 7.124
_cell_length_b 7.124
_cell_length_c 7.124
_cell_angle_alpha 90.00
_cell_angle_beta 90.00
_cell_angle_gamma 90.00
loop_
_atom_site_label
_atom_site_type_symbol
_atom_site_fract_x
_atom_site_fract_y
_atom_site_fract_z
Ca1 Ca 0.250 0.250 0.250
Zn1 Zn 0.000 0.000 0.000
Si1 Si 0.000 0.000 0.500
```

* calculated volume: 22.59 Å³/atom
* E: -11.0830 eV/atom
* excess energy over the best structure of this formula in the dataset: 0.046 eV/atom


Entry 7:
LiHgAu2 | meta-GGA SCAN | single point on PBEsol structure

```
data_LiHgAu2
_symmetry_space_group_name_H-M 'P m m m'
_symmetry_Int_Tables_number 47
_cell_length_a 2.854
_cell_length_b 3.955
_cell_length_c 6.054
_cell_angle_alpha 90.00
_cell_angle_beta 90.00
_cell_angle_gamma 90.00
loop_
_symmetry_equiv_pos_as_xyz
'x,y,z'
'-x,-y,-z'
'-x,-y,z'
'x,y,-z'
'x,-y,-z'
'-x,y,z'
'-x,y,-z'
'x,-y,z'
loop_
_atom_site_label
_atom_site_type_symbol
_atom_site_fract_x
_atom_site_fract_y
_atom_site_fract_z
Li1 Li 0.000 0.000 0.000
Hg1 Hg 0.000 0.000 0.500
Au1 Au 0.500 0.500 0.227
```

* calculated volume: 17.08 Å³/atom
* energy of formation: -297 meV per atom
* E: -52.5143 eV/atom


Entry 8:
Sb5PO10 | meta-GGA SCAN | single point on PBEsol structure

```
data_Sb5PO10
_symmetry_space_group_name_H-M 'P 21 21 21'
_symmetry_Int_Tables_number 19
_cell_length_a 6.773
_cell_length_b 7.023
_cell_length_c 19.914
_cell_angle_alpha 90.00
_cell_angle_beta 90.00
_cell_angle_gamma 90.00
loop_
_symmetry_equiv_pos_as_xyz
'x,y,z'
'-x+1/2,-y,z+1/2'
'x+1/2,-y+1/2,-z'
'-x,y+1/2,-z+1/2'
loop_
_atom_site_label
_atom_site_type_symbol
_atom_site_fract_x
_atom_site_fract_y
_atom_site_fract_z
Sb1 Sb 0.095 0.240 0.146
Sb2 Sb 0.101 0.472 0.803
Sb3 Sb 0.108 0.544 0.501
Sb4 Sb 0.123 0.747 0.186
Sb5 Sb 0.148 0.965 0.842
P1 P 0.097 0.091 0.528
O1 O 0.030 0.996 0.347
O2 O 0.064 0.174 0.599
O3 O 0.072 0.640 0.279
O4 O 0.074 0.460 0.995
O5 O 0.117 0.261 0.476
O6 O 0.127 0.635 0.408
O7 O 0.152 0.444 0.700
O8 O 0.153 0.081 0.748
O9 O 0.213 0.031 0.024
O10 O 0.238 0.722 0.800
```

* calculated volume: 14.80 Å³/atom
* E: -17.8278 eV/atom


Entry 9:
YCu2As | meta-GGA SCAN | single point on PBEsol structure

```
data_YCu2As
_symmetry_space_group_name_H-M 'I 4/m m m'
_symmetry_Int_Tables_number 139
_symmetry_space_group_name_Hall '-I 4 2'
_cell_length_a 4.010
_cell_length_b 4.010
_cell_length_c 8.357
_cell_angle_alpha 90.00
_cell_angle_beta 90.00
_cell_angle_gamma 90.00
loop_
_atom_site_label
_atom_site_type_symbol
_atom_site_fract_x
_atom_site_fract_y
_atom_site_fract_z
Y1 Y 0.000 0.000 0.000
Cu1 Cu 0.000 0.500 0.250
As1 As 0.000 0.000 0.500
```

* calculated volume: 16.80 Å³/atom
* energy of formation: -329 meV per atom
* E: -19.9374 eV/atom


Entry 10:
Y3TaB | meta-GGA SCAN | single point on PBEsol structure

```
data_Y3TaB
_symmetry_space_group_name_H-M 'P m -3 m'
_symmetry_Int_Tables_number 221
_symmetry_space_group_name_Hall '-P 4 2 3'
_cell_length_a 4.938
_cell_length_b 4.938
_cell_length_c 4.938
_cell_angle_alpha 90.00
_cell_angle_beta 90.00
_cell_angle_gamma 90.00
loop_
_atom_site_label
_atom_site_type_symbol
_atom_site_fract_x
_atom_site_fract_y
_atom_site_fract_z
Y1 Y 0.000 0.000 0.500
Ta1 Ta 0.500 0.500 0.500
B1 B 0.000 0.000 0.000
```

* calculated volume: 24.08 Å³/atom
* energy of formation: 479 meV per atom
* E: -31.0290 eV/atom


Entry 11:
K2As | meta-GGA SCAN | single point on PBEsol structure

```
data_K2As
_symmetry_space_group_name_H-M 'C 1 2/m 1'
_symmetry_Int_Tables_number 12
_cell_length_a 9.689
_cell_length_b 5.582
_cell_length_c 7.994
_cell_angle_alpha 90.00
_cell_angle_beta 113.84
_cell_angle_gamma 90.00
loop_
_symmetry_equiv_pos_as_xyz
'x,y,z'
'-x,-y,-z'
'-x,y,-z'
'x,-y,z'
'x+1/2,y+1/2,z'
'-x+1/2,-y+1/2,-z'
'-x+1/2,y+1/2,-z'
'x+1/2,-y+1/2,z'
loop_
_atom_site_label
_atom_site_type_symbol
_atom_site_fract_x
_atom_site_fract_y
_atom_site_fract_z
K1 K 0.138 0.000 0.414
K2 K 0.203 0.500 0.112
As1 As 0.059 0.500 0.675
```

* calculated volume: 32.96 Å³/atom
* energy of formation: -472 meV per atom
* E: -12.7548 eV/atom


Entry 12:
BaAs | meta-GGA SCAN | single point on PBEsol structure

```
data_BaAs
_symmetry_space_group_name_H-M 'C m c m'
_symmetry_Int_Tables_number 63
_symmetry_space_group_name_Hall '-C 2c 2'
_cell_length_a 3.421
_cell_length_b 12.535
_cell_length_c 5.794
_cell_angle_alpha 90.00
_cell_angle_beta 90.00
_cell_angle_gamma 90.00
loop_
_atom_site_label
_atom_site_type_symbol
_atom_site_fract_x
_atom_site_fract_y
_atom_site_fract_z
Ba1 Ba 0.000 0.118 0.250
As1 As 0.000 0.380 0.250
```

* calculated volume: 31.06 Å³/atom
* energy of formation: -912 meV per atom
* E: -30.7825 eV/atom